No. 1
AlWS3 | GGA-PBE | relaxed

abc: 4.7176 4.7176 4.7176
angles: 90.00 90.00 90.00
Space group Pm-3m (No. 221)
Unique sites:
Al (0.0000, 0.0000, 0.0000) x1
W (0.5000, 0.5000, 0.5000) x1
S (0.0000, 0.5000, 0.5000) x3

Energy above the most stable polymorph in this dataset ... 0.0000 eV/atom
Total energy ... -5.79 eV per atom
Uncorrected formation energy ... 29 meV/atom
Spin magnetization ... 0.00 Bohr magnetons per cell

No. 2
YAlWS2 | GGA-PBE | relaxed

abc: 5.1042 5.1042 5.6424
angles: 90.00 90.00 90.00
Space group P4/mmm (No. 123)
Unique sites:
Y (0.0000, 0.0000, 0.0000) x1
Al (0.0000, 0.0000, 0.5000) x1
W (0.5000, 0.5000, 0.5000) x1
S (0.0000, 0.5000, 0.0000) x2

Total energy ... -5.17 eV per atom
Uncorrected formation energy ... 1112 meV/atom
Spin magnetization ... 4.25 Bohr magnetons per cell

No. 3
Y2AlS | GGA-PBE | relaxed

abc: 3.6803 3.6803 28.0752
angles: 90.00 90.00 120.00
Space group R-3m (No. 166, hexagonal axes)
Unique sites:
Y (0.0000, 0.0000, 0.1078) x6
Al (0.0000, 0.0000, 0.0000) x3
S (0.0000, 0.0000, 0.5000) x3

Energy above the most stable polymorph in this dataset ... 0.5829 eV/atom
Total energy ... -5.85 eV per atom
Uncorrected formation energy ... -647 meV/atom
Spin magnetization ... 0.00 Bohr magnetons per cell

No. 4
Y3Al5S12 | GGA-PBE | relaxed

abc: 14.9317 14.9317 14.9317
angles: 90.00 90.00 90.00
Space group Ia-3d (No. 230)
Unique sites:
Y (0.0000, 0.2500, 0.1250) x24
Al (0.0000, 0.0000, 0.0000) x16
Al (0.0000, 0.2500, 0.3750) x24
S (0.0280, 0.0575, 0.6492) x96

Total energy ... -5.83 eV per atom
Uncorrected formation energy ... -1451 meV/atom
Spin magnetization ... 0.00 Bohr magnetons per cell

No. 5
Y2Al2S | GGA-PBE | relaxed

abc: 7.2298 7.2298 4.7731
angles: 90.00 90.00 90.00
Space group P4/mbm (No. 127)
Unique sites:
Y (0.1713, 0.3287, 0.0000) x4
Al (0.1289, 0.6289, 0.5000) x4
S (0.0000, 0.0000, 0.0000) x2

Total energy ... -5.60 eV per atom
Uncorrected formation energy ... -691 meV/atom
Spin magnetization ... 0.00 Bohr magnetons per cell

No. 6
YAlS3 | GGA-PBE | relaxed

abc: 3.8702 22.3032 6.3938
angles: 90.00 90.00 90.00
Space group Ama2 (No. 40)
Unique sites:
Y (0.2500, 0.1747, 0.0000) x4
Al (0.2500, 0.3746, 0.9319) x4
S (0.2500, 0.0834, 0.2961) x4
S (0.2500, 0.2816, 0.7720) x4
S (0.2500, 0.3784, 0.2802) x4

Total energy ... -6.08 eV per atom
Uncorrected formation energy ... -1559 meV/atom
Spin magnetization ... 0.00 Bohr magnetons per cell

No. 7
Y4AlS2 | GGA-PBE | relaxed

abc: 3.9148 13.0649 13.4579
angles: 90.00 90.00 90.00
Space group Cmcm (No. 63)
Unique sites:
Y (0.0000, 0.0000, 0.0000) x4
Y (0.0000, 0.2700, 0.1187) x8
Y (0.0000, 0.4328, 0.7500) x4
Al (0.0000, 0.1071, 0.7500) x4
S (0.0000, 0.3646, 0.5594) x8

Total energy ... -6.70 eV per atom
Uncorrected formation energy ... -1293 meV/atom
Spin magnetization ... 0.00 Bohr magnetons per cell

No. 8
YAl2S | GGA-PBE | relaxed

abc: 7.8285 7.8285 5.4568
angles: 90.00 90.00 90.00
Space group I-42d (No. 122)
Unique sites:
Y (0.0000, 0.0000, 0.0000) x4
Al (0.1991, 0.2500, 0.6250) x8
S (0.0000, 0.0000, 0.5000) x4

Total energy ... -4.89 eV per atom
Uncorrected formation energy ... -371 meV/atom
Spin magnetization ... 0.00 Bohr magnetons per cell

No. 9
YAlS2 | GGA-PBE | relaxed

abc: 3.8520 3.8520 23.8517
angles: 90.00 90.00 120.00
Space group R-3m (No. 166, hexagonal axes)
Unique sites:
Y (0.0000, 0.0000, 0.0000) x3
Al (0.0000, 0.0000, 0.5000) x3
S (0.0000, 0.0000, 0.3985) x6

Total energy ... -5.73 eV per atom
Uncorrected formation energy ... -1119 meV/atom
Spin magnetization ... 0.00 Bohr magnetons per cell

No. 10
Y2AlS | GGA-PBE | relaxed

abc: 3.9859 22.3993 4.1480
angles: 90.00 90.00 90.00
Space group Cmcm (No. 63)
Unique sites:
Y (0.0000, 0.0731, 0.2500) x4
Y (0.0000, 0.3154, 0.2500) x4
Al (0.0000, 0.4624, 0.2500) x4
S (0.0000, 0.1939, 0.2500) x4

Energy above the most stable polymorph in this dataset ... 0.0000 eV/atom
Total energy ... -6.43 eV per atom
Uncorrected formation energy ... -1230 meV/atom
Spin magnetization ... 0.00 Bohr magnetons per cell

No. 11
Y2AlS | GGA-PBE | relaxed

abc: 7.6072 7.6072 7.0059
angles: 90.00 90.00 90.00
Space group I-42d (No. 122)
Unique sites:
Y (0.2156, 0.7500, 0.1250) x8
Al (0.0000, 0.0000, 0.5000) x4
S (0.0000, 0.0000, 0.0000) x4

Energy above the most stable polymorph in this dataset ... 0.4927 eV/atom
Total energy ... -5.94 eV per atom
Uncorrected formation energy ... -737 meV/atom
Spin magnetization ... 0.00 Bohr magnetons per cell

No. 12
Y2AlS | GGA-PBE | relaxed

abc: 7.1731 7.1731 7.1731
angles: 90.00 90.00 90.00
Space group Fm-3m (No. 225)
Unique sites:
Y (0.2500, 0.2500, 0.2500) x8
Al (0.0000, 0.0000, 0.0000) x4
S (0.0000, 0.0000, 0.5000) x4

Energy above the most stable polymorph in this dataset ... 0.6201 eV/atom
Total energy ... -5.81 eV per atom
Uncorrected formation energy ... -610 meV/atom
Spin magnetization ... 0.00 Bohr magnetons per cell

No. 13
YAlS3 | GGA-PBE | relaxed

abc: 4.6177 4.6177 4.6177
angles: 90.00 90.00 90.00
Space group Pm-3m (No. 221)
Unique sites:
Y (0.0000, 0.0000, 0.0000) x1
Al (0.5000, 0.5000, 0.5000) x1
S (0.0000, 0.5000, 0.5000) x3

Total energy ... -5.59 eV per atom
Uncorrected formation energy ... -1075 meV/atom
Spin magnetization ... 0.00 Bohr magnetons per cell

No. 14
YAlS2 | GGA-PBE | relaxed

abc: 5.8803 5.8803 11.1158
angles: 90.00 90.00 90.00
Space group I-42d (No. 122)
Unique sites:
Y (0.0000, 0.0000, 0.0000) x4
Al (0.0000, 0.0000, 0.5000) x4
S (0.1958, 0.2500, 0.6250) x8

Total energy ... -5.54 eV per atom
Uncorrected formation energy ... -923 meV/atom
Spin magnetization ... 3.62 Bohr magnetons per cell

No. 15
YAlS | GGA-PBE | relaxed

abc: 3.6055 15.8533 4.3349
angles: 90.00 90.00 90.00
Space group Cmcm (No. 63)
Unique sites:
Y (0.0000, 0.1301, 0.2500) x4
Al (0.0000, 0.4655, 0.2500) x4
S (0.0000, 0.3173, 0.2500) x4

Energy above the most stable polymorph in this dataset ... 0.1006 eV/atom
Total energy ... -5.84 eV per atom
Uncorrected formation energy ... -1060 meV/atom
Spin magnetization ... 0.00 Bohr magnetons per cell

No. 16
Y6AlS5 | GGA-PBE | relaxed

abc: 6.9188 11.9206 6.8844
angles: 90.00 109.37 90.00
Space group C2/m (No. 12)
Unique sites:
Y (0.2467, 0.0000, 0.2508) x4
Y (0.2479, 0.1685, 0.7482) x8
Al (0.0000, 0.5000, 0.0000) x2
S (0.0000, 0.0000, 0.5000) x2
S (0.0000, 0.1666, 0.0000) x4
S (0.0000, 0.3334, 0.5000) x4

Total energy ... -6.97 eV per atom
Uncorrected formation energy ... -1702 meV/atom
Spin magnetization ... 0.00 Bohr magnetons per cell

No. 17
Y5AlS4 | GGA-PBE | relaxed

abc: 8.9406 8.9406 5.6342
angles: 90.00 90.00 90.00
Space group I4/m (No. 87)
Unique sites:
Y (0.0000, 0.0000, 0.0000) x2
Y (0.1011, 0.6954, 0.5000) x8
Al (0.0000, 0.0000, 0.5000) x2
S (0.1008, 0.6977, 0.0000) x8

Total energy ... -6.91 eV per atom
Uncorrected formation energy ... -1652 meV/atom
Spin magnetization ... 0.00 Bohr magnetons per cell

No. 18
Y9Al5S21 | GGA-PBE | relaxed

abc: 16.7479 16.7479 18.3720
angles: 90.00 90.00 120.00
Space group R3 (No. 146, hexagonal axes)
Unique sites:
Y (0.0240, 0.2005, 0.0000) x9
Y (0.0241, 0.2043, 0.3412) x9
Y (0.0258, 0.1979, 0.6640) x9
Y (0.1532, 0.6911, 0.5071) x9
Y (0.1586, 0.6867, 0.8293) x9
Y (0.1596, 0.6962, 0.1690) x9
Al (0.0000, 0.0000, 0.2696) x3
Al (0.0000, 0.0000, 0.4520) x3
Al (0.0000, 0.0000, 0.7687) x3
Al (0.0000, 0.0000, 0.9506) x3
Al (0.0014, 0.6709, 0.3094) x9
Al (0.0051, 0.3350, 0.8094) x9
S (0.9998, 0.3343, 0.2646) x9
S (0.0022, 0.6675, 0.0980) x9
S (0.0086, 0.1239, 0.2057) x9
S (0.0096, 0.5506, 0.5888) x9
S (0.0115, 0.1193, 0.8648) x9
S (0.0154, 0.1302, 0.5196) x9
S (0.0188, 0.5520, 0.9256) x9
S (0.0241, 0.5611, 0.2580) x9
S (0.1193, 0.1080, 0.3662) x9
S (0.1250, 0.1142, 0.7053) x9
S (0.1269, 0.3436, 0.0923) x9
S (0.1291, 0.1158, 0.0182) x9
S (0.1294, 0.3578, 0.4247) x9
S (0.1331, 0.3523, 0.7554) x9

Total energy ... -6.39 eV per atom
Uncorrected formation energy ... -1721 meV/atom
Spin magnetization ... 0.00 Bohr magnetons per cell